A relaxed structure of Mg2PbS. Source: Alexandria via LeMat-Bulk, functional PBE.

Output
density of states at the Fermi level = 1.3 states/eV/f.u.
V = 28.237 Å³ per atom
polymorph energy (0 for the lowest one) = 1.04 eV/f.u.
M_tot = 0.00 μB per formula unit
formation energy without anion corrections = -10.3 kcal/mol of atoms

```
data_Mg2PbS
_symmetry_space_group_name_H-M 'P 1'
_symmetry_Int_Tables_number 1
_cell_length_a 6.815
_cell_length_b 6.815
_cell_length_c 9.727
_cell_angle_alpha 90.00
_cell_angle_beta 90.00
_cell_angle_gamma 90.00
loop_
_symmetry_equiv_pos_as_xyz
'x,y,z'
loop_
_atom_site_label
_atom_site_type_symbol
_atom_site_fract_x
_atom_site_fract_y
_atom_site_fract_z
Mg1 Mg 0.186 0.250 0.125
Mg2 Mg 0.250 0.686 0.375
Mg3 Mg 0.250 0.814 0.875
Mg4 Mg 0.314 0.250 0.625
Mg5 Mg 0.686 0.750 0.625
Mg6 Mg 0.750 0.186 0.875
Mg7 Mg 0.750 0.314 0.375
Mg8 Mg 0.814 0.750 0.125
Pb1 Pb 0.000 0.000 0.500
Pb2 Pb 0.000 0.500 0.750
Pb3 Pb 0.500 0.000 0.250
Pb4 Pb 0.500 0.500 0.000
S1 S 0.000 0.000 0.000
S2 S 0.000 0.500 0.250
S3 S 0.500 0.000 0.750
S4 S 0.500 0.500 0.500
```